[1]
Compound: AcPaTc
Source: Alexandria
Functional: PBE
Structure: relaxed

Values from the calculation:
Space group: I4mm (107)
Crystal system: tetragonal
Offset from the most stable computed form, meV per atom: 51.5
E_form, kcal/mol of atoms: 0.90

Geometry as POSCAR:
```
AcPaTc
1.0
-1.469 -1.269 3.009
-2.014 -2.245 -1.931
6.174 -2.526 -0.182
Tc Ac Pa
1 1 1
Cartesian
0.062 -3.500 0.685 Tc
0.030 -0.029 0.002 Ac
2.599 -2.511 0.209 Pa
```

***

[2]
Compound: AcPaTc
Source: Alexandria
Functional: PBE
Structure: relaxed

Values from the calculation:
Space group: C2/m (12)
Crystal system: monoclinic
Offset from the most stable computed form, meV per atom: 96.1
E_form, kcal/mol of atoms: 1.93

Geometry as POSCAR:
```
AcPaTc
1.0
-1.650 -1.341 -3.267
3.402 -7.675 -0.893
-3.372 -5.796 1.756
Ac Pa Tc
2 2 2
Cartesian
1.104 -6.637 -2.485 Ac
-2.724 -8.175 0.080 Ac
0.481 -9.714 -0.907 Pa
-2.101 -5.097 -1.498 Pa
-2.590 -4.748 0.930 Tc
0.970 -10.064 -3.335 Tc
```

***

[3]
Compound: AcPaTc
Source: Alexandria
Functional: PBE
Structure: relaxed

Values from the calculation:
Space group: P-6m2 (187)
Crystal system: hexagonal
Offset from the most stable computed form, meV per atom: 0.0
E_form, kcal/mol of atoms: -0.29

Geometry as POSCAR:
```
AcPaTc
1.0
4.372 0.000 0.000
-2.186 3.787 0.000
0.000 0.000 5.446
Tc Pa Ac
1 1 1
Cartesian
0.000 2.524 2.723 Tc
2.186 1.262 2.723 Pa
0.000 0.000 0.000 Ac
```

***

Theoretical density for every record listed, in sequence, given in g/cm³: 11.66; 10.05; 10.24.